Material: Ac8Ge3SeI4
Method: DFT, PBE
State: relaxed

For the formation energy (no corrections), the calculation gives -1.115 eV/atom. The calculated density is 7.342 g/cm³.

It has space group R-3m (No. 166, hexagonal axes), with a = 9.2032 Å, b = 9.2032 Å, c = 24.2419 Å, α = 90.00°, β = 90.00° and γ = 120.00°. The distinct sites, in fractional coordinates, are Ac at (0.0000, 0.0000, 0.2340), Ac at (0.0043, 0.5021, 0.7661), Ge at (0.0000, 0.5000, 0.5000), Se at (0.0000, 0.0000, 0.5000), I at (0.0000, 0.0000, 0.0000) and I at (0.0000, 0.5000, 0.0000).

Material: Ac6Ge2Se3I
Method: DFT, PBE
State: relaxed

For the formation energy (no corrections), the calculation gives -1.398 eV/atom. The calculated density is 7.618 g/cm³.

It has space group C2/m (No. 12), with a = 19.8474 Å, b = 4.5662 Å, c = 9.2038 Å, α = 90.00°, β = 102.08° and γ = 90.00°. The distinct sites, in fractional coordinates, are Ac at (0.0060, 0.0000, 0.2775), Ac at (0.1695, 0.5000, 0.5769), Ac at (0.1770, 0.5000, 0.1022), Ge at (0.1657, 0.0000, 0.3300), Se at (0.0000, 0.5000, 0.5000), Se at (0.1609, 0.0000, 0.8366) and I at (0.0000, 0.5000, 0.0000).

Material: Ac6Ge3Se2I
Method: DFT, PBE
State: relaxed

For the formation energy (no corrections), the calculation gives -1.243 eV/atom. The calculated density is 7.411 g/cm³.

It has space group C2/m (No. 12), with a = 20.0833 Å, b = 4.6166 Å, c = 9.2491 Å, α = 90.00°, β = 102.99° and γ = 90.00°. The distinct sites, in fractional coordinates, are Ac at (0.0016, 0.0000, 0.2247), Ac at (0.1644, 0.5000, 0.0912), Ac at (0.1767, 0.5000, 0.5807), Ge at (0.0000, 0.5000, 0.0000), Ge at (0.1635, 0.0000, 0.3336), Se at (0.1671, 0.0000, 0.8336) and I at (0.0000, 0.5000, 0.5000).

Material: Ac6Si2GeI3
Method: DFT, PBE
State: relaxed

For the formation energy (no corrections), the calculation gives -0.956 eV/atom. The calculated density is 6.920 g/cm³.

It has space group C2/m (No. 12), with a = 21.0217 Å, b = 4.6142 Å, c = 9.7085 Å, α = 90.00°, β = 107.48° and γ = 90.00°. The distinct sites, in fractional coordinates, are Ac at (0.0122, 0.0000, 0.2253), Ac at (0.1570, 0.5000, 0.1142), Ac at (0.1781, 0.5000, 0.5562), Si at (0.1666, 0.0000, 0.3339), Ge at (0.0000, 0.5000, 0.0000), I at (0.0000, 0.5000, 0.5000) and I at (0.1661, 0.0000, 0.8336).

Material: Ac8Si3GeI4
Method: DFT, PBE
State: relaxed

For the formation energy (no corrections), the calculation gives -0.949 eV/atom. The calculated density is 6.872 g/cm³.

It has space group R-3m (No. 166, hexagonal axes), with a = 9.2169 Å, b = 9.2169 Å, c = 24.4405 Å, α = 90.00°, β = 90.00° and γ = 120.00°. The distinct sites, in fractional coordinates, are Ac at (0.0000, 0.0000, 0.2330), Ac at (0.0022, 0.5011, 0.7667), Si at (0.0000, 0.5000, 0.5000), Ge at (0.0000, 0.0000, 0.5000), I at (0.0000, 0.0000, 0.0000) and I at (0.0000, 0.5000, 0.0000).

Material: Ac8SnGe3I4
Method: DFT, PBE
State: relaxed

For the formation energy (no corrections), the calculation gives -0.983 eV/atom. The calculated density is 7.191 g/cm³.

It has space group R-3m (No. 166, hexagonal axes), with a = 9.4062 Å, b = 9.4062 Å, c = 24.0524 Å, α = 90.00°, β = 90.00° and γ = 120.00°. The distinct sites, in fractional coordinates, are Ac at (0.0000, 0.0000, 0.2338), Ac at (0.0114, 0.5057, 0.7643), Sn at (0.0000, 0.0000, 0.5000), Ge at (0.0000, 0.5000, 0.5000), I at (0.0000, 0.0000, 0.0000) and I at (0.0000, 0.5000, 0.0000).

Material: Ac6SnGe2I3
Method: DFT, PBE
State: relaxed

For the formation energy (no corrections), the calculation gives -0.977 eV/atom. The calculated density is 7.197 g/cm³.

It has space group C2/m (No. 12), with a = 21.0078 Å, b = 4.7158 Å, c = 9.6774 Å, α = 90.00°, β = 105.02° and γ = 90.00°. The distinct sites, in fractional coordinates, are Ac at (0.0142, 0.0000, 0.2406), Ac at (0.1629, 0.5000, 0.1202), Ac at (0.1777, 0.5000, 0.5599), Sn at (0.0000, 0.5000, 0.0000), Ge at (0.1677, 0.0000, 0.3370), I at (0.0000, 0.5000, 0.5000) and I at (0.1640, 0.0000, 0.8338).

Material: Ac4SnGeI2
Method: DFT, PBE
State: relaxed

For the formation energy (no corrections), the calculation gives -0.957 eV/atom. The calculated density is 7.198 g/cm³.

It has space group P2/m (No. 10), with a = 8.2918 Å, b = 4.7601 Å, c = 8.3723 Å, α = 90.00°, β = 109.15° and γ = 90.00°. The distinct sites, in fractional coordinates, are Ac at (0.2250, 0.0000, 0.2073), Ac at (0.2496, 0.5000, 0.7862), Sn at (0.5000, 0.0000, 0.0000), Ge at (0.0000, 0.5000, 0.0000), I at (0.0000, 0.0000, 0.5000) and I at (0.5000, 0.5000, 0.5000).

Material: Ac8TcGe3I4
Method: DFT, PBE
State: relaxed

For the formation energy (no corrections), the calculation gives -0.854 eV/atom. The calculated density is 7.255 g/cm³.

It has space group R-3m (No. 166, hexagonal axes), with a = 9.1847 Å, b = 9.1847 Å, c = 24.8079 Å, α = 90.00°, β = 90.00° and γ = 120.00°. The distinct sites, in fractional coordinates, are Ac at (0.0000, 0.0000, 0.2341), Ac at (0.0178, 0.5089, 0.2307), Tc at (0.0000, 0.0000, 0.5000), Ge at (0.0000, 0.5000, 0.5000), I at (0.0000, 0.0000, 0.0000) and I at (0.0000, 0.5000, 0.0000).

Material: Ac4GeTe2I
Method: DFT, PBE
State: relaxed

For the formation energy (no corrections), the calculation gives -1.224 eV/atom. The calculated density is 7.602 g/cm³.

It has space group P2/m (No. 10), with a = 8.1540 Å, b = 4.6903 Å, c = 8.2347 Å, α = 90.00°, β = 109.07° and γ = 90.00°. The distinct sites, in fractional coordinates, are Ac at (0.2298, 0.0000, 0.2221), Ac at (0.2452, 0.5000, 0.7734), Ge at (0.0000, 0.5000, 0.0000), Te at (0.5000, 0.0000, 0.0000), Te at (0.5000, 0.5000, 0.5000) and I at (0.0000, 0.0000, 0.5000).

Material: Ac3GeTeI
Method: DFT, PBE
State: relaxed

For the formation energy (no corrections), the calculation gives -1.002 eV/atom. The calculated density is 6.250 g/cm³.

It has space group P2_1/m (No. 11), with a = 9.4604 Å, b = 4.5963 Å, c = 12.3205 Å, α = 90.00°, β = 90.58° and γ = 90.00°. The distinct sites, in fractional coordinates, are Ac at (0.1105, 0.2500, 0.3731), Ac at (0.1199, 0.2500, 0.8787), Ac at (0.3596, 0.7500, 0.6266), Ge at (0.1261, 0.2500, 0.6328), Te at (0.3760, 0.7500, 0.3532) and I at (0.3770, 0.7500, 0.9050).

Material: Ac6Ge2TeI3
Method: DFT, PBE
State: relaxed

For the formation energy (no corrections), the calculation gives -1.074 eV/atom. The calculated density is 7.376 g/cm³.

It has space group C2/m (No. 12), with a = 20.8189 Å, b = 4.6765 Å, c = 9.6281 Å, α = 90.00°, β = 104.51° and γ = 90.00°. The distinct sites, in fractional coordinates, are Ac at (0.0158, 0.0000, 0.2452), Ac at (0.1654, 0.5000, 0.1207), Ac at (0.1774, 0.5000, 0.5583), Ge at (0.1679, 0.0000, 0.3349), Te at (0.0000, 0.5000, 0.0000), I at (0.0000, 0.5000, 0.5000) and I at (0.1632, 0.0000, 0.8322).

Material: Ac8Ge3TeI4
Method: DFT, PBE
State: relaxed

For the formation energy (no corrections), the calculation gives -1.065 eV/atom. The calculated density is 7.308 g/cm³.

It has space group R-3m (No. 166, hexagonal axes), with a = 9.3728 Å, b = 9.3728 Å, c = 23.9143 Å, α = 90.00°, β = 90.00° and γ = 120.00°. The distinct sites, in fractional coordinates, are Ac at (0.0000, 0.0000, 0.2337), Ac at (0.0190, 0.5095, 0.7641), Ge at (0.0000, 0.5000, 0.5000), Te at (0.0000, 0.0000, 0.5000), I at (0.0000, 0.0000, 0.0000) and I at (0.0000, 0.5000, 0.0000).

Material: Ac6TlGe2I3
Method: DFT, PBE
State: relaxed

For the formation energy (no corrections), the calculation gives -0.883 eV/atom. The calculated density is 7.493 g/cm³.

It has space group C2/m (No. 12), with a = 21.0131 Å, b = 4.6850 Å, c = 9.7337 Å, α = 90.00°, β = 104.58° and γ = 90.00°. The distinct sites, in fractional coordinates, are Ac at (0.0132, 0.0000, 0.2421), Ac at (0.1623, 0.5000, 0.1189), Ac at (0.1778, 0.5000, 0.5605), Tl at (0.0000, 0.5000, 0.0000), Ge at (0.1679, 0.0000, 0.3379), I at (0.0000, 0.5000, 0.5000) and I at (0.1653, 0.0000, 0.8336).

Material: Ac8ZnGe3I4
Method: DFT, PBE
State: relaxed

For the formation energy (no corrections), the calculation gives -0.888 eV/atom. The calculated density is 7.198 g/cm³.

It has space group R-3m (No. 166, hexagonal axes), with a = 9.3205 Å, b = 9.3205 Å, c = 23.9829 Å, α = 90.00°, β = 90.00° and γ = 120.00°. The distinct sites, in fractional coordinates, are Ac at (0.0000, 0.0000, 0.2347), Ac at (0.0006, 0.5003, 0.2352), Zn at (0.0000, 0.0000, 0.5000), Ge at (0.0000, 0.5000, 0.5000), I at (0.0000, 0.0000, 0.0000) and I at (0.0000, 0.5000, 0.0000).

Material: AcInGe
Method: DFT, PBE
State: relaxed

The calculation puts the offset from the most stable computed form at 0 meV/atom. The calculated density is 7.742 g/cm³. Its energy of formation from the pure elements is -0.556 eV per atom.

It has space group P3m1 (No. 156), with a = 4.5480 Å, b = 4.5480 Å, c = 4.9624 Å, α = 90.00°, β = 90.00° and γ = 120.00°. The distinct sites, in fractional coordinates, are Ac at (0.0000, 0.0000, 0.0000), In at (0.6667, 0.3333, 0.5620) and Ge at (0.3333, 0.6667, 0.3788).

Material: Ac4In2Ge
Method: DFT, PBE
State: relaxed

The calculation puts the offset from the most stable computed form at 177 meV/atom. The calculated density is 6.794 g/cm³. Its energy of formation from the pure elements is -0.251 eV per atom.

It has space group I4/mmm (No. 139), with a = 6.0100 Å, b = 6.0100 Å, c = 16.3789 Å, α = 90.00°, β = 90.00° and γ = 90.00°. The distinct sites, in fractional coordinates, are Ac at (0.0000, 0.0000, 0.1868), Ac at (0.0000, 0.5000, 0.0000), In at (0.0000, 0.0000, 0.3875) and Ge at (0.0000, 0.0000, 0.0000).

Material: Ac3In4Ge2
Method: DFT, PBE
State: relaxed

The calculated density is 7.972 g/cm³. Its energy of formation from the pure elements is -0.475 eV per atom.

It has space group C2/m (No. 12), with a = 12.5815 Å, b = 4.7053 Å, c = 9.9544 Å, α = 90.00°, β = 114.66° and γ = 90.00°. The distinct sites, in fractional coordinates, are Ac at (0.0000, 0.0000, 0.0000), Ac at (0.1900, 0.5000, 0.6361), In at (0.0122, 0.0000, 0.3542), In at (0.2492, 0.5000, 0.0837) and Ge at (0.1022, 0.5000, 0.2695).

Material: Ac3In3Ge2
Method: DFT, PBE
State: relaxed

The calculated density is 8.111 g/cm³. Its energy of formation from the pure elements is -0.497 eV per atom.

It has space group Cmcm (No. 63), with a = 4.5116 Å, b = 12.4169 Å, c = 17.1133 Å, α = 90.00°, β = 90.00° and γ = 90.00°. The distinct sites, in fractional coordinates, are Ac at (0.0000, 0.0452, 0.1059), Ac at (0.0000, 0.3244, 0.2500), In at (0.0000, 0.3469, 0.0361), In at (0.0000, 0.4031, 0.7500) and Ge at (0.0000, 0.2447, 0.6205).

Material: AcInGe
Method: DFT, PBE
State: relaxed

The calculation puts the offset from the most stable computed form at 12 meV/atom. The calculated density is 7.523 g/cm³. Its energy of formation from the pure elements is -0.544 eV per atom.

It has space group Cmcm (No. 63), with a = 4.5367 Å, b = 12.7483 Å, c = 6.3272 Å, α = 90.00°, β = 90.00° and γ = 90.00°. The distinct sites, in fractional coordinates, are Ac at (0.0000, 0.1491, 0.2500), In at (0.0000, 0.4450, 0.2500) and Ge at (0.0000, 0.1772, 0.7500).

| no. | uncorrected energy (eV/atom) | DOS at the Fermi energy (states/eV per atom) |
| --- | --- | --- |
| 1 | -4.640 | 0.529 |
| 2 | -5.222 | 0.408 |
| 3 | -5.162 | 0.222 |
| 4 | -4.686 | 0.455 |
| 5 | -4.696 | 0.426 |
| 6 | -4.541 | 0.475 |
| 7 | -4.522 | 0.496 |
| 8 | -4.476 | 0.579 |
| 9 | -4.810 | 0.703 |
| 10 | -4.835 | 0.559 |
| 11 | -4.607 | 0.561 |
| 12 | -4.547 | 0.540 |
| 13 | -4.569 | 0.574 |
| 14 | -4.291 | 0.561 |
| 15 | -4.275 | 0.564 |
| 16 | -4.377 | 0.068 |
| 17 | -4.041 | 0.160 |
| 18 | -4.088 | 0.595 |
| 19 | -4.219 | 0.602 |
| 20 | -4.365 | 0.232 |